No. 1
# TiHgAsO6 | the Alexandria database | GGA-PBE | relaxed
data_TiHgAsO6
_chemical_formula_sum 'Ti2 Hg2 As2 O12'
_space_group_name_H-M_alt 'P -3 1 c'
_space_group_IT_number 163
_space_group_name_Hall '-P 3 2c'
_cell_length_a 5.1530
_cell_length_b 5.1530
_cell_length_c 9.4988
_cell_angle_alpha 90.00
_cell_angle_beta 90.00
_cell_angle_gamma 120.00
loop_
_atom_site_label
_atom_site_type_symbol
_atom_site_fract_x
_atom_site_fract_y
_atom_site_fract_z
_atom_site_occupancy
Ti1 Ti 0.3333 0.6667 0.2500 1
Hg1 Hg 0.0000 0.0000 0.0000 1
As1 As 0.3333 0.6667 0.7500 1
O1 O 0.0160 0.3838 0.6430 1
# D(E_F): 6.07 states/eV/f.u.
# total DFT energy (no corrections): -110.48 eV per cell


No. 2
# TiHgAs2O8 | the Alexandria database | GGA-PBE | relaxed
data_TiHgAs2O8
_chemical_formula_sum 'Ti1 Hg1 As2 O8'
_space_group_name_H-M_alt 'P -3 m 1'
_space_group_IT_number 164
_space_group_name_Hall '-P 3 2"'
_cell_length_a 5.4627
_cell_length_b 5.4627
_cell_length_c 6.4769
_cell_angle_alpha 90.00
_cell_angle_beta 90.00
_cell_angle_gamma 120.00
loop_
_atom_site_label
_atom_site_type_symbol
_atom_site_fract_x
_atom_site_fract_y
_atom_site_fract_z
_atom_site_occupancy
Ti1 Ti 0.0000 0.0000 0.0000 1
Hg1 Hg 0.0000 0.0000 0.5000 1
As1 As 0.3333 0.6667 0.7181 1
O1 O 0.1622 0.3244 0.8132 1
O2 O 0.3333 0.6667 0.4605 1
# total DFT energy (no corrections): -73.74 eV per cell


No. 3
# TlHgAs2O8 | the Alexandria database | GGA-PBE | relaxed
data_TlHgAs2O8
_chemical_formula_sum 'Tl3 Hg3 As6 O24'
_space_group_name_H-M_alt 'R 3 2'
_space_group_IT_number 155
_space_group_name_Hall 'R 3 2"'
_cell_length_a 5.1223
_cell_length_b 5.1223
_cell_length_c 21.7853
_cell_angle_alpha 90.00
_cell_angle_beta 90.00
_cell_angle_gamma 120.00
loop_
_atom_site_label
_atom_site_type_symbol
_atom_site_fract_x
_atom_site_fract_y
_atom_site_fract_z
_atom_site_occupancy
Tl1 Tl 0.0000 0.0000 0.0000 1
Hg1 Hg 0.0000 0.0000 0.5000 1
As1 As 0.0000 0.0000 0.2460 1
O1 O 0.0000 0.0000 0.1670 1
O2 O 0.0018 0.3587 0.0643 1
# D(E_F): 8.04 states/eV/f.u.
# total DFT energy (no corrections): -178.03 eV per cell


No. 4
# Tl2HgAsO4 | the Alexandria database | GGA-PBE | relaxed
data_Tl2HgAsO4
_chemical_formula_sum 'Tl16 Hg8 As8 O32'
_space_group_name_H-M_alt 'F d d d'
_space_group_IT_number 70
_cell_length_a 6.291
_cell_length_b 11.094
_cell_length_c 21.121
_cell_angle_alpha 90.00
_cell_angle_beta 90.00
_cell_angle_gamma 90.00
loop_
_space_group_symop_operation_xyz
'x,y,z'
'-x,-y,-z'
'-x+1/4,-y+1/4,z'
'x+1/4,y+1/4,-z'
'x,-y+1/4,-z+1/4'
'-x,y+1/4,z+1/4'
'-x+1/4,y,-z+1/4'
'x+1/4,-y,z+1/4'
'x,y+1/2,z+1/2'
'-x,-y+1/2,-z+1/2'
'-x+1/4,-y+3/4,z+1/2'
'x+1/4,y+3/4,-z+1/2'
'x,-y+3/4,-z+3/4'
'-x,y+3/4,z+3/4'
'-x+1/4,y+1/2,-z+3/4'
'x+1/4,-y+1/2,z+3/4'
'x+1/2,y,z+1/2'
'-x+1/2,-y,-z+1/2'
'-x+3/4,-y+1/4,z+1/2'
'x+3/4,y+1/4,-z+1/2'
'x+1/2,-y+1/4,-z+3/4'
'-x+1/2,y+1/4,z+3/4'
'-x+3/4,y,-z+3/4'
'x+3/4,-y,z+3/4'
'x+1/2,y+1/2,z'
'-x+1/2,-y+1/2,-z'
'-x+3/4,-y+3/4,z'
'x+3/4,y+3/4,-z'
'x+1/2,-y+3/4,-z+1/4'
'-x+1/2,y+3/4,z+1/4'
'-x+3/4,y+1/2,-z+1/4'
'x+3/4,-y+1/2,z+1/4'
loop_
_atom_site_label
_atom_site_type_symbol
_atom_site_fract_x
_atom_site_fract_y
_atom_site_fract_z
_atom_site_occupancy
Tl1 Tl 0.125 0.125 0.317 1
Hg1 Hg 0.125 0.125 0.125 1
As1 As 0.125 0.125 0.625 1
O1 O 0.039 0.278 0.833 1
# D(E_F): 3.86 states/eV/f.u.
# total DFT energy (no corrections): -280.55 eV per cell


No. 5
# TlHg2AsO4 | the Alexandria database | GGA-PBE | relaxed
data_TlHg2AsO4
_chemical_formula_sum 'Tl2 Hg4 As2 O8'
_space_group_name_H-M_alt 'I 2 2 2'
_space_group_IT_number 23
_cell_length_a 5.816
_cell_length_b 7.106
_cell_length_c 7.225
_cell_angle_alpha 90.00
_cell_angle_beta 90.00
_cell_angle_gamma 90.00
loop_
_space_group_symop_operation_xyz
'x,y,z'
'-x,-y,z'
'x,-y,-z'
'-x,y,-z'
'x+1/2,y+1/2,z+1/2'
'-x+1/2,-y+1/2,z+1/2'
'x+1/2,-y+1/2,-z+1/2'
'-x+1/2,y+1/2,-z+1/2'
loop_
_atom_site_label
_atom_site_type_symbol
_atom_site_fract_x
_atom_site_fract_y
_atom_site_fract_z
_atom_site_occupancy
Tl1 Tl 0.000 0.000 0.000 1
Hg1 Hg 0.000 0.500 0.308 1
As1 As 0.000 0.000 0.500 1
O1 O 0.178 0.139 0.362 1
# D(E_F): 0.41 states/eV/f.u.
# total DFT energy (no corrections): -66.51 eV per cell


No. 6
# U2Hg5As2O18 | the Alexandria database | GGA-PBE | relaxed
data_U2Hg5As2O18
_chemical_formula_sum 'U2 Hg5 As2 O18'
_space_group_name_H-M_alt 'P -1'
_space_group_IT_number 2
_cell_length_a 7.074
_cell_length_b 7.228
_cell_length_c 9.834
_cell_angle_alpha 105.00
_cell_angle_beta 110.89
_cell_angle_gamma 94.81
loop_
_space_group_symop_operation_xyz
'x,y,z'
'-x,-y,-z'
loop_
_atom_site_label
_atom_site_type_symbol
_atom_site_fract_x
_atom_site_fract_y
_atom_site_fract_z
_atom_site_occupancy
U1 U 0.122 0.011 0.214 1
Hg1 Hg 0.106 0.420 0.689 1
Hg2 Hg 0.416 0.294 0.057 1
Hg3 Hg 0.500 0.500 0.500 1
As1 As 0.276 0.933 0.608 1
O1 O 0.104 0.270 0.269 1
O2 O 0.131 0.751 0.175 1
O3 O 0.148 0.688 0.522 1
O4 O 0.167 0.063 0.724 1
O5 O 0.173 0.078 0.010 1
O6 O 0.269 0.047 0.474 1
O7 O 0.310 0.545 0.916 1
O8 O 0.459 0.446 0.679 1
O9 O 0.482 0.086 0.281 1
# D(E_F): 13.22 states/eV/f.u.
# total DFT energy (no corrections): -154.22 eV per cell


no.,formation energy from raw total energies (eV per formula unit),magnetization (μB per formula unit)
1,-12.65,0.0
2,-16.58,0.0
3,-7.71,1.1
4,-5.55,0.0
5,-5.80,0.0
6,-31.59,4.1